Below is a geometry-optimized LaMnH6Pd structure, with properties calculated at the GGA-PBE level.

Calculated values
uncorrected energy	-4.708	eV per atom

a b c (Å): 4.688 4.688 4.467
angles (deg): 90.00 90.00 60.00
Last column: magnetic moment on the atom in μB.
Sites, in units of the cell vectors:
La 0.000 0.000 0.000  0.00
Mn 0.333 0.333 0.500  2.63
H 0.024 0.488 0.242  -0.02
H 0.488 0.024 0.758  -0.02
H 0.488 0.488 0.758  -0.02
H 0.024 0.488 0.758  -0.02
H 0.488 0.488 0.242  -0.02
H 0.488 0.024 0.242  -0.02
Pd 0.667 0.667 0.500  0.07